Entry 1:
# LaOs3Cl

An optimized crystal structure of LaOs3Cl (PBE, Alexandria via LeMat-Bulk).

Unit cell a=5.061 b=5.061 c=5.061 alpha=90.00 beta=90.00 gamma=90.00
Element x y z (fractional)
1 La 0.000 0.000 0.000
2 Os 0.000 0.000 0.500
3 Os 0.000 0.500 0.000
4 Os 0.500 0.000 0.000
5 Cl 0.500 0.500 0.500

**E**: -5.0904 eV/atom
**Uncorrected formation energy**: 3.00 eV/atom
**Energy relative to the lowest polymorph listed for this composition**: 1758 meV/atom

***

Entry 2:
# MnZn7Ni4

An optimized crystal structure of MnZn7Ni4 (PBE, Alexandria via LeMat-Bulk).

Unit cell a=5.978 b=5.978 c=8.670 alpha=123.37 beta=123.37 gamma=43.87
Element x y z (fractional)
1 Mn 0.000 0.000 0.000
2 Zn 0.069 0.069 0.352
3 Zn 0.215 0.215 0.869
4 Zn 0.336 0.336 0.401
5 Zn 0.500 0.500 0.000
6 Zn 0.664 0.664 0.599
7 Zn 0.785 0.785 0.131
8 Zn 0.931 0.931 0.648
9 Ni 0.307 0.307 0.661
10 Ni 0.430 0.430 0.214
11 Ni 0.570 0.570 0.786
12 Ni 0.693 0.693 0.339

**E_form**: 1.15 eV/f.u.
**E**: -3.3382 eV/atom
**Energy relative to the lowest polymorph listed for this composition**: 197 meV/atom